[1]
Density functional theory data (PBE) for a relaxed CsLi2SnPt crystal.

Cell lengths 5.359, 5.359, 5.069 Å; angles 90.00, 90.00, 90.00 degrees
Positions (direct):
Cs: 0.500 0.500 0.500
Sn: 0.000 0.000 0.500
Pt: 0.000 0.000 0.000
Li: 0.000 0.500 0.000
Li: 0.500 0.000 0.000

Its calculated density is 5.253 g/cm³. Its formation energy is -0.28 eV per atom.


[2]
Density functional theory data (PBE) for a relaxed Sm6AlGe2Te3 crystal.

Cell lengths 4.321, 8.861, 9.862 Å; angles 105.47, 102.65, 90.00 degrees
Positions (direct):
Sm: 0.335 0.902 0.669
Sm: 0.673 0.566 0.346
Sm: 0.665 0.098 0.331
Sm: 0.005 0.249 0.011
Sm: 0.995 0.751 0.989
Sm: 0.327 0.434 0.654
Al: 0.500 0.000 0.000
Ge: 0.834 0.669 0.668
Ge: 0.166 0.331 0.332
Te: 0.500 0.500 0.000
Te: 0.834 0.170 0.668
Te: 0.166 0.830 0.332

Its calculated density is 6.829 g/cm³. The uncorrected formation energy comes out at -12.67 eV per formula unit.


[3]
Density functional theory data (PBE) for a relaxed LiTcGeMo crystal.

Cell lengths 4.296, 4.296, 4.296 Å; angles 60.00, 60.00, 60.00 degrees
Positions (direct):
Mo: 0.750 0.750 0.750
Ge: 0.250 0.250 0.250
Tc: 0.000 0.000 0.000
Li: 0.500 0.500 0.500

Its calculated density is 8.099 g/cm³. Its formation energy is -0.18 eV per atom.


[4]
Density functional theory data (PBE) for a relaxed BiTe2Au crystal.

Cell lengths 6.750, 6.750, 8.219 Å; angles 65.76, 65.76, 90.00 degrees
Positions (direct):
Te: 0.587 0.125 0.250
Te: 0.163 0.625 0.250
Te: 0.375 0.413 0.750
Te: 0.875 0.837 0.750
Au: 0.500 0.500 0.000
Au: 0.250 0.750 0.500
Bi: 0.000 0.000 0.000
Bi: 0.750 0.250 0.500

Its calculated density is 7.203 g/cm³. The uncorrected formation energy comes out at -0.09 eV per formula unit.


[5]
Density functional theory data (PBE) for a relaxed ScReSe2 crystal.

Cell lengths 7.212, 4.565, 3.212 Å; angles 90.00, 63.56, 129.29 degrees
Positions (direct):
Re: 0.000 0.500 0.500
Sc: 0.500 0.500 0.000
Se: 0.000 0.000 0.000
Se: 0.500 0.000 0.500

Its calculated density is 9.652 g/cm³. Its excess energy over the best structure of this formula in the dataset is 144 meV/atom. The uncorrected formation energy comes out at -1.38 eV per formula unit.